! PBE KFe2Ru, relaxed; values from VASP
&SYSTEM
  ibrav = 0, nat = 4, ntyp = 3
/
ATOMIC_SPECIES
K 39.10 K.upf
Ru 101.07 Ru.upf
Fe 55.84 Fe.upf
CELL_PARAMETERS angstrom
6.0323 0.0910 0.0598
2.8854 5.2982 -0.0598
-3.5049 -4.2731 2.4200
ATOMIC_POSITIONS angstrom
K 3.4931 -0.7437 1.2399
Ru 1.9197 1.8599 1.1801
Fe 4.0621 2.4549 0.0000
Fe 0.3967 0.2398 0.0000
! energy above the lowest structure with this stoichiometry	442.0	meV/atom
! total magnetic moment	1.59	μB/atom
! space-group type	Immm (71)
! ΔE_f	1121	meV/atom